Here is an optimized crystal structure of KZnPb2 from the Alexandria database. Energies are from GGA-PBE.

Unit cell a=3.790 b=3.790 c=8.336 alpha=90.00 beta=90.00 gamma=90.00
Element x y z (fractional)
K 0.000 0.000 0.000
Zn 0.000 0.000 0.500
Pb 0.500 0.500 0.309
Pb 0.500 0.500 0.691

Computed properties:
**Uncorrected energy**: -9.87 eV for the cell shown
**ρ**: 7.2 Mg/m³
**Formation energy**: -20 meV per atom
**Spin magnetization**: 0.000 μB per atom

=====

Here is an optimized crystal structure of CsTeSe2 from the Alexandria database. Energies are from GGA-PBE.

Unit cell a=4.566 b=4.566 c=23.658 alpha=90.00 beta=90.00 gamma=120.00
Element x y z (fractional)
Cs 0.000 0.000 0.000
Cs 0.333 0.667 0.667
Cs 0.667 0.333 0.333
Te 0.000 0.000 0.169
Te 0.333 0.667 0.836
Te 0.667 0.333 0.502
Se 0.000 0.000 0.558
Se 0.000 0.000 0.778
Se 0.333 0.667 0.225
Se 0.333 0.667 0.445
Se 0.667 0.333 0.111
Se 0.667 0.333 0.892

Computed properties:
**Energy relative to the elements, uncorrected**: -0.39 eV/atom
**Uncorrected energy**: -37.59 eV for the cell shown
**ρ**: 4.9 Mg/m³
**Spin magnetization**: 0.000 μB per atom

=====

Here is an optimized crystal structure of YPuCoCu from the Alexandria database. Energies are from GGA-PBE.

Unit cell a=6.818 b=6.818 c=6.818 alpha=90.00 beta=90.00 gamma=90.00
Element x y z (fractional)
Y 0.000 0.000 0.000
Y 0.000 0.500 0.500
Y 0.500 0.000 0.500
Y 0.500 0.500 0.000
Pu 0.000 0.000 0.500
Pu 0.000 0.500 0.000
Pu 0.500 0.000 0.000
Pu 0.500 0.500 0.500
Co 0.250 0.250 0.250
Co 0.250 0.750 0.750
Co 0.750 0.250 0.750
Co 0.750 0.750 0.250
Cu 0.250 0.250 0.750
Cu 0.250 0.750 0.250
Cu 0.750 0.250 0.250
Cu 0.750 0.750 0.750

Computed properties:
**Uncorrected energy**: -127.93 eV for the cell shown
**ρ**: 9.5 Mg/m³
**Formation energy**: 4 meV per atom
**Spin magnetization**: 1.277 μB per atom

=====

Here is an optimized crystal structure of Na3Cd4In2Hg2 from the Alexandria database. Energies are from GGA-PBE.

Unit cell a=5.146 b=5.146 c=12.607 alpha=90.00 beta=90.00 gamma=120.00
Element x y z (fractional)
Na 0.000 0.000 0.000
Na 0.000 0.000 0.267
Na 0.000 0.000 0.733
Cd 0.333 0.667 0.370
Cd 0.333 0.667 0.866
Cd 0.667 0.333 0.134
Cd 0.667 0.333 0.630
In 0.333 0.667 0.607
In 0.667 0.333 0.393
Hg 0.333 0.667 0.124
Hg 0.667 0.333 0.876

Computed properties:
**Uncorrected energy**: -14.75 eV for the cell shown
**ρ**: 6.6 Mg/m³
**Formation energy**: -96 meV per atom
**Spin magnetization**: 0.000 μB per atom

=====

Here is an optimized crystal structure of K2Rb4Pt from the Alexandria database. Energies are from GGA-PBE.

Unit cell a=6.504 b=6.504 c=24.460 alpha=90.00 beta=90.00 gamma=90.00
Element x y z (fractional)
K 0.000 0.000 0.185
K 0.000 0.000 0.815
K 0.500 0.500 0.315
K 0.500 0.500 0.685
Rb 0.000 0.000 0.368
Rb 0.000 0.000 0.632
Rb 0.000 0.500 0.000
Rb 0.000 0.500 0.500
Rb 0.500 0.000 0.000
Rb 0.500 0.000 0.500
Rb 0.500 0.500 0.132
Rb 0.500 0.500 0.868
Pt 0.000 0.000 0.500
Pt 0.500 0.500 0.000

Computed properties:
**Uncorrected energy**: -23.35 eV for the cell shown
**ρ**: 2.0 Mg/m³
**Formation energy**: 62 meV per atom
**Spin magnetization**: 0.000 μB per atom

=====

Here is an optimized crystal structure of LaTlSnHg from the Alexandria database. Energies are from GGA-PBE.

Unit cell a=7.661 b=7.661 c=7.661 alpha=90.00 beta=90.00 gamma=90.00
Element x y z (fractional)
La 0.000 0.000 0.000
La 0.000 0.500 0.500
La 0.500 0.000 0.500
La 0.500 0.500 0.000
Tl 0.250 0.250 0.250
Tl 0.250 0.750 0.750
Tl 0.750 0.250 0.750
Tl 0.750 0.750 0.250
Sn 0.000 0.000 0.500
Sn 0.000 0.500 0.000
Sn 0.500 0.000 0.000
Sn 0.500 0.500 0.500
Hg 0.250 0.250 0.750
Hg 0.250 0.750 0.250
Hg 0.750 0.250 0.250
Hg 0.750 0.750 0.750

Computed properties:
**Uncorrected energy**: -52.07 eV for the cell shown
**ρ**: 9.8 Mg/m³
**Formation energy**: -355 meV per atom
**Spin magnetization**: 0.000 μB per atom

=====

Here is an optimized crystal structure of CuI2Cl6 from the Alexandria database. Energies are from GGA-PBE.

Unit cell a=9.323 b=9.323 c=9.325 alpha=99.99 beta=99.99 gamma=98.01
Element x y z (fractional)
Cu 0.107 0.893 0.750
Cu 0.893 0.107 0.250
I 0.160 0.434 0.222
I 0.434 0.160 0.722
I 0.566 0.840 0.278
I 0.840 0.566 0.778
Cl 0.006 0.320 0.405
Cl 0.035 0.132 0.071
Cl 0.132 0.035 0.571
Cl 0.288 0.520 0.041
Cl 0.320 0.006 0.905
Cl 0.480 0.712 0.459
Cl 0.520 0.288 0.541
Cl 0.680 0.994 0.095
Cl 0.712 0.480 0.959
Cl 0.868 0.965 0.429
Cl 0.965 0.868 0.929
Cl 0.994 0.680 0.595

Computed properties:
**Energy relative to the elements, uncorrected**: -0.19 eV/atom
**Uncorrected energy**: -40.00 eV for the cell shown
**ρ**: 2.3 Mg/m³
**Spin magnetization**: 0.101 μB per atom

=====

Here is an optimized crystal structure of Th4Ge2PtS from the Alexandria database. Energies are from GGA-PBE.

Unit cell a=7.355 b=4.193 c=7.366 alpha=90.00 beta=109.90 gamma=90.00
Element x y z (fractional)
Th 0.243 0.000 0.244
Th 0.249 0.500 0.747
Th 0.751 0.500 0.253
Th 0.757 0.000 0.756
Ge 0.500 0.000 0.000
Ge 0.500 0.500 0.500
Pt 0.000 0.500 0.000
S 0.000 0.000 0.500

Computed properties:
**Energy relative to the elements, uncorrected**: -1.12 eV/atom
**Uncorrected energy**: -58.06 eV for the cell shown
**ρ**: 10.1 Mg/m³
**Spin magnetization**: 0.000 μB per atom